DFT (GGA-PBE) results for an optimized crystal structure of LaMoPSe2.

Summary:
Energy relative to the elements, uncorrected ... -0.63 eV/atom

Cell lengths 5.0681, 5.0681, 4.5996 Å; angles 90.00, 90.00, 90.00 degrees
Last column: nearest neighbours and their distance in Å.
Space group P4/mmm (No. 123)
Asymmetric unit:
La (0.0000, 0.0000, 0.0000) x1  8 Se 3.42, 4 P 3.58
Mo (0.5000, 0.5000, 0.5000) x1  2 P 2.30, 4 Se 2.53
P (0.5000, 0.5000, 0.0000) x1  2 Mo 2.30
Se (0.0000, 0.5000, 0.5000) x2  2 Mo 2.53